Material: HoGa12Pt4
Method: DFT, PBE
State: optimized geometry Values from VASP.

Structure (Quantum ESPRESSO input):
```
&SYSTEM
  ibrav = 0, nat = 17, ntyp = 3
/
ATOMIC_SPECIES
Pt 195.08 Pt.upf
Ga 69.72 Ga.upf
Ho 164.93 Ho.upf
ATOMIC_POSITIONS crystal
Pt 0.5000 0.5000 0.5000
Ga 0.1936 0.8486 0.3450
Pt 0.0000 0.0000 0.5000
Ga 0.4963 0.1514 0.3450
Ho 0.0000 0.0000 0.0000
Pt 0.0000 0.5000 0.0000
Ga 0.3450 0.1936 0.8486
Ga 0.8486 0.3450 0.1936
Ga 0.6550 0.8064 0.1514
Pt 0.5000 0.0000 0.0000
Ga 0.5037 0.8486 0.6550
Ga 0.3450 0.4963 0.1514
Ga 0.8486 0.6550 0.5037
Ga 0.1514 0.6550 0.8064
Ga 0.6550 0.5037 0.8486
Ga 0.1514 0.3450 0.4963
Ga 0.8064 0.1514 0.6550
CELL_PARAMETERS angstrom
-0.8494 2.1962 7.2658
-1.8670 -7.3763 -0.6650
7.2695 0.9879 -2.1251
```

Values from the calculation:
Its electronic total energy is -4.1575 eV per atom. The total magnetization comes out at 0.0 μB per formula unit.

Material: HoGa2Pt7
Method: DFT, PBE
State: optimized geometry Values from VASP.

Structure (Quantum ESPRESSO input):
```
&SYSTEM
  ibrav = 0, nat = 10, ntyp = 3
/
ATOMIC_SPECIES
Ga 69.72 Ga.upf
Pt 195.08 Pt.upf
Ho 164.93 Ho.upf
ATOMIC_POSITIONS crystal
Ga 0.5000 0.6979 0.3021
Ga 0.5000 0.3021 0.6979
Pt 0.5000 0.6988 0.9230
Pt 0.5000 0.0770 0.3012
Pt 0.0000 0.7849 0.2151
Ho 0.0000 0.0000 0.0000
Pt 0.0000 0.2151 0.7849
Pt 0.5000 0.5000 0.5000
Pt 0.5000 0.3012 0.0770
Pt 0.5000 0.9230 0.6988
CELL_PARAMETERS angstrom
-3.6375 -0.4015 2.4358
1.7603 -6.9073 1.4902
2.3350 5.3392 4.3671
```

Values from the calculation:
Its electronic total energy is -5.5985 eV per atom. The total magnetization comes out at 0.0 μB per formula unit.

Material: HoGaPt
Method: DFT, PBE
State: optimized geometry Values from VASP.

Structure (Quantum ESPRESSO input):
```
&SYSTEM
  ibrav = 0, nat = 12, ntyp = 3
/
ATOMIC_SPECIES
Ho 164.93 Ho.upf
Pt 195.08 Pt.upf
Ga 69.72 Ga.upf
ATOMIC_POSITIONS crystal
Ho 0.6250 0.8750 0.2500
Ho 0.6250 0.3750 0.7500
Ho 0.6250 0.3750 0.2500
Pt 0.8199 0.1801 0.0000
Ga 0.1230 0.6230 0.2459
Ga 0.3770 0.8770 0.7541
Pt 0.1801 0.8199 0.0000
Pt 0.0699 0.9301 0.5000
Ga 0.1270 0.1270 0.2541
Pt 0.4301 0.5699 0.5000
Ho 0.1250 0.3750 0.7500
Ga 0.8730 0.8730 0.7459
CELL_PARAMETERS angstrom
-5.4480 4.0520 -2.5295
0.9972 -6.2908 -3.4539
-1.2042 -1.3277 6.4584
```

Values from the calculation:
Its electronic total energy is -5.3267 eV per atom. The total magnetization comes out at 0.0 μB per formula unit.

Material: Ho2Ga9Pt3
Method: DFT, PBE
State: optimized geometry Values from VASP.

Structure (Quantum ESPRESSO input):
```
&SYSTEM
  ibrav = 0, nat = 28, ntyp = 3
/
ATOMIC_SPECIES
Ho 164.93 Ho.upf
Pt 195.08 Pt.upf
Ga 69.72 Ga.upf
ATOMIC_POSITIONS crystal
Ho 0.3328 0.2477 0.7490
Pt 0.8376 0.1676 0.4983
Ga 0.2168 0.5232 0.5800
Ga 0.8752 0.1252 0.7500
Ho 0.0014 0.4163 0.2490
Ga 0.2212 0.6923 0.0807
Ho 0.9986 0.5837 0.7510
Ga 0.8787 0.0229 0.0731
Ga 0.1213 0.9771 0.9269
Ho 0.6672 0.7523 0.2510
Ga 0.7832 0.4768 0.4200
Ga 0.4628 0.9177 0.7494
Ga 0.3317 0.2866 0.2494
Ga 0.8883 0.8595 0.5807
Pt 0.1693 0.3393 0.0017
Ga 0.6683 0.7134 0.7506
Pt 0.1624 0.8324 0.5017
Ga 0.1248 0.8748 0.2500
Pt 0.8307 0.6607 0.9983
Ga 0.5372 0.0823 0.2506
Pt 0.5000 0.5000 0.5000
Ga 0.4433 0.6368 0.9200
Ga 0.5502 0.1944 0.5731
Ga 0.7788 0.3077 0.9193
Ga 0.4498 0.8056 0.4269
Ga 0.1117 0.1405 0.4193
Ga 0.5567 0.3632 0.0800
Pt 0.5000 0.0000 0.0000
CELL_PARAMETERS angstrom
7.0854 -0.0079 -2.9958
-4.1472 6.4791 -0.0080
0.2298 0.1745 10.5101
```

Values from the calculation:
Its electronic total energy is -4.5547 eV per atom. The total magnetization comes out at 0.0 μB per formula unit.

The calculation returns the following density values, one per record and in order: 8.63 13.69 11.00 10.48 Mg/m³.